Here is a geometry-optimized Li3TeOs structure from Alexandria. Energies are from PBEsol.

Lattice parameters (Å, degrees): 4.7927 4.7927 4.7927 90.00 90.00 90.00
Closest atoms and distances in Å follow each position.
Space group Pm-3m (No. 221)
Unique sites:
Li 0.0000 0.0000 0.5000 x3  2 Os 2.40
Te 0.5000 0.5000 0.5000 x1  12 Li 3.39
Os 0.0000 0.0000 0.0000 x1  6 Li 2.40

Summary:
Calculated volume = 110.09 Å³/cell
Mass density = 5.11 g/cm³
E_tot = -17.28 eV per cell
DOS(E_F) = 3.54 states/eV/f.u.